# 1
{"formula": "PmPr2Er", "functional": "GGA-PBE", "state": "relaxed", "lattice_angstrom": [[5.1668, 0.0000, 0.0000], [0.0000, 5.1668, 0.0000], [0.0000, 0.0000, 5.1267]], "species": ["Pm", "Pr", "Pr", "Er"], "fractional_positions": [[0.0000, 0.0000, 0.0000], [0.0000, 0.5000, 0.5000], [0.5000, 0.0000, 0.5000], [0.5000, 0.5000, 0.0000]], "de_polymorph_mev_per_atom": 0.6, "total_energy_ev_per_atom": -4.703, "dos_at_fermi_per_ev_cell": 6.294, "e_form_ev_per_atom": 0.02, "m_tot_mub_per_cell": 0.0}

***

# 2
{"formula": "PmPr8Er6", "functional": "GGA-PBE", "state": "relaxed", "lattice_angstrom": [[9.5192, 0.0000, 0.0000], [-4.7596, 8.2438, 0.0000], [0.0000, 0.0000, 6.5383]], "species": ["Pm", "Pr", "Pr", "Pr", "Pr", "Pr", "Pr", "Pr", "Pr", "Er", "Er", "Er", "Er", "Er", "Er"], "fractional_positions": [[0.0000, 0.0000, 0.0000], [0.0427, 0.2876, 0.3254], [0.2449, 0.9573, 0.3254], [0.2876, 0.2449, 0.6746], [0.3333, 0.6667, 0.3713], [0.6667, 0.3333, 0.6287], [0.7124, 0.7551, 0.3254], [0.7551, 0.0427, 0.6746], [0.9573, 0.7124, 0.6746], [0.0980, 0.4448, 0.8359], [0.3467, 0.9020, 0.8359], [0.4448, 0.3467, 0.1641], [0.5552, 0.6533, 0.8359], [0.6533, 0.0980, 0.1641], [0.9020, 0.5552, 0.1641]], "de_polymorph_mev_per_atom": 19.7, "total_energy_ev_per_atom": -4.511, "dos_at_fermi_per_ev_cell": 25.339, "e_form_ev_per_atom": 0.18, "m_tot_mub_per_cell": 0.0}

***

# 3
{"formula": "Pm8Pr6Er", "functional": "GGA-PBE", "state": "relaxed", "lattice_angstrom": [[4.6561, 2.6882, 7.0516], [-4.6561, 2.6882, 7.0516], [0.0000, -5.3764, 7.0516]], "species": ["Pm", "Pm", "Pm", "Pm", "Pm", "Pm", "Pm", "Pm", "Pr", "Pr", "Pr", "Pr", "Pr", "Pr", "Er"], "fractional_positions": [[0.0774, 0.0774, 0.0774], [0.2166, 0.6130, 0.2514], [0.2514, 0.2166, 0.6130], [0.3870, 0.7486, 0.7834], [0.6130, 0.2514, 0.2166], [0.7486, 0.7834, 0.3870], [0.7834, 0.3870, 0.7486], [0.9226, 0.9226, 0.9226], [0.0392, 0.5981, 0.7368], [0.2632, 0.9608, 0.4019], [0.4019, 0.2632, 0.9608], [0.5981, 0.7368, 0.0392], [0.7368, 0.0392, 0.5981], [0.9608, 0.4019, 0.2632], [0.5000, 0.5000, 0.5000]], "de_polymorph_mev_per_atom": 0.0, "total_energy_ev_per_atom": -4.642, "dos_at_fermi_per_ev_cell": 22.014, "e_form_ev_per_atom": 0.11, "m_tot_mub_per_cell": 0.0}

***

# 4
{"formula": "Pm7Pr3Er2", "functional": "GGA-PBE", "state": "relaxed", "lattice_angstrom": [[6.4872, 0.0000, 0.0000], [0.0000, 3.5890, 0.0000], [-1.9179, 0.0000, 17.7630]], "species": ["Pm", "Pm", "Pm", "Pm", "Pm", "Pm", "Pm", "Pr", "Pr", "Pr", "Er", "Er"], "fractional_positions": [[0.0000, 0.0000, 0.0000], [0.2233, 0.5000, 0.1689], [0.2551, 0.5000, 0.4977], [0.2693, 0.0000, 0.8313], [0.7307, 0.0000, 0.1687], [0.7449, 0.5000, 0.5023], [0.7767, 0.5000, 0.8311], [0.4534, 0.0000, 0.3388], [0.5000, 0.5000, 0.0000], [0.5466, 0.0000, 0.6612], [0.0544, 0.5000, 0.6708], [0.9456, 0.5000, 0.3292]], "de_polymorph_mev_per_atom": 0.0, "total_energy_ev_per_atom": -4.649, "dos_at_fermi_per_ev_cell": 18.145, "e_form_ev_per_atom": 0.08, "m_tot_mub_per_cell": 0.0}